(1)
# TlSbAu2

A crystal of TlSbAu2 relaxed with PBEsol (meta-GGA SCAN, Alexandria via LeMat-Bulk).

Cell lengths 3.8565, 4.1948, 5.7105 Å; angles 90.00, 90.00, 90.00 degrees
Last column: nearest neighbours and their distance in Å.
Space group Pmmm (No. 47)
One atom of each set of equivalent atoms:
Tl  0.0000  0.0000  0.0000 (multiplicity 1)  6 Au 2.85-2.86
Sb  0.5000  0.5000  0.5000 (multiplicity 1)  6 Au 2.85-2.86
Au  0.0000  0.0000  0.5000 (multiplicity 1)  4 Sb 2.85, 2 Tl 2.86
Au  0.5000  0.5000  0.0000 (multiplicity 1)  4 Tl 2.85, 2 Sb 2.86

Summary:
Energy above the lowest structure with this stoichiometry ... 0 meV per atom
Formation energy from raw total energies ... -0.0900 eV per atom



(2)
# SrLiCd4

A crystal of SrLiCd4 relaxed with PBEsol (meta-GGA SCAN, Alexandria via LeMat-Bulk).

Cell lengths 8.3296, 8.3296, 8.3296 Å; angles 90.00, 90.00, 90.00 degrees
Last column: nearest neighbours and their distance in Å.
Space group F-43m (No. 216)
One atom of each set of equivalent atoms:
Sr  0.0000  0.0000  0.0000 (multiplicity 4)  12 Cd 3.46, 4 Li 3.61
Li  0.2500  0.2500  0.7500 (multiplicity 4)  12 Cd 3.45, 4 Sr 3.61
Cd  0.1241  0.1241  0.3759 (multiplicity 16)  6 Cd 2.92-2.97

Summary:
Energy relative to the elements ... -281.8 meV per atom



(3)
# LaGaBiTe2

A crystal of LaGaBiTe2 relaxed with PBEsol (meta-GGA SCAN, Alexandria via LeMat-Bulk).

Cell lengths 5.9719, 5.9719, 5.6522 Å; angles 90.00, 90.00, 90.00 degrees
Last column: nearest neighbours and their distance in Å.
Space group P4/mmm (No. 123)
One atom of each set of equivalent atoms:
La  0.0000  0.0000  0.0000 (multiplicity 1)  2 Ga 2.83, 4 Te 2.99
Ga  0.0000  0.0000  0.5000 (multiplicity 1)  2 La 2.83
Bi  0.5000  0.5000  0.5000 (multiplicity 1)  8 Te 4.11, 4 Ga 4.22
Te  0.0000  0.5000  0.0000 (multiplicity 2)  2 La 2.99

Summary:
Formation energy from raw total energies ... 0.2492 eV per atom



(4)
# TaNi2Ag

A crystal of TaNi2Ag relaxed with PBEsol (meta-GGA SCAN, Alexandria via LeMat-Bulk).

Cell lengths 5.9905, 5.9905, 5.9905 Å; angles 90.00, 90.00, 90.00 degrees
Last column: nearest neighbours and their distance in Å.
Space group Fm-3m (No. 225)
One atom of each set of equivalent atoms:
Ta  0.0000  0.0000  0.0000 (multiplicity 4)  8 Ni 2.59
Ni  0.2500  0.2500  0.2500 (multiplicity 8)  4 Ta 2.59, 4 Ag 2.59
Ag  0.0000  0.0000  0.5000 (multiplicity 4)  8 Ni 2.59

Summary:
Energy above the lowest structure with this stoichiometry ... 0 meV per atom
Energy relative to the elements ... 39.6 meV per atom



(5)
# MnHg2Rh

A crystal of MnHg2Rh relaxed with PBEsol (meta-GGA SCAN, Alexandria via LeMat-Bulk).

Cell lengths 4.0019, 4.0019, 8.2943 Å; angles 90.00, 90.00, 90.00 degrees
Last column: nearest neighbours and their distance in Å.
Space group I-4m2 (No. 119)
One atom of each set of equivalent atoms:
Mn  0.0000  0.0000  0.0000 (multiplicity 2)  8 Hg 2.83-2.88, 4 Rh 2.88
Hg  0.0000  0.0000  0.5000 (multiplicity 2)  4 Mn 2.83, 4 Hg 2.88, 4 Rh 2.88
Hg  0.0000  0.5000  0.7500 (multiplicity 2)  4 Rh 2.83, 4 Hg 2.88, 4 Mn 2.88
Rh  0.0000  0.5000  0.2500 (multiplicity 2)  8 Hg 2.83-2.88, 4 Mn 2.88

Summary:
Energy above the lowest structure with this stoichiometry ... 0 meV per atom
Energy relative to the elements ... -45.5 meV per atom



(6)
# HgMo2O

A crystal of HgMo2O relaxed with PBEsol (meta-GGA SCAN, Alexandria via LeMat-Bulk).

Cell lengths 6.1257, 6.1257, 6.1257 Å; angles 90.00, 90.00, 90.00 degrees
Last column: nearest neighbours and their distance in Å.
Space group Fm-3m (No. 225)
One atom of each set of equivalent atoms:
Hg  0.0000  0.0000  0.0000 (multiplicity 4)  8 Mo 2.65
Mo  0.2500  0.2500  0.2500 (multiplicity 8)  4 O 2.65, 4 Hg 2.65
O  0.0000  0.0000  0.5000 (multiplicity 4)  8 Mo 2.65

Summary:
Formation energy from raw total energies ... 0.7576 eV per atom



(7)
# Ta2AlSi

A crystal of Ta2AlSi relaxed with PBEsol (meta-GGA SCAN, Alexandria via LeMat-Bulk).

Cell lengths 5.6022, 7.9791, 2.7996 Å; angles 90.00, 90.00, 90.00 degrees
Last column: nearest neighbours and their distance in Å.
Space group Cmmm (No. 65)
One atom of each set of equivalent atoms:
Ta  0.2500  0.2500  0.0000 (multiplicity 4)  4 Ta 2.80, 4 Al 2.81, 4 Si 2.81
Al  0.0000  0.0000  0.5000 (multiplicity 2)  2 Al 2.80, 2 Si 2.80, 8 Ta 2.81
Si  0.0000  0.5000  0.5000 (multiplicity 2)  2 Si 2.80, 2 Al 2.80, 8 Ta 2.81

Summary:
Energy above the lowest structure with this stoichiometry ... 43 meV per atom
Formation energy from raw total energies ... -0.1663 eV per atom



(8)
# KBaNa2

A crystal of KBaNa2 relaxed with PBEsol (meta-GGA SCAN, Alexandria via LeMat-Bulk).

Cell lengths 10.1202, 10.1202, 8.1049 Å; angles 90.00, 90.00, 90.00 degrees
Last column: nearest neighbours and their distance in Å.
Space group I-42d (No. 122)
One atom of each set of equivalent atoms:
K  0.0000  0.0000  0.0000 (multiplicity 4)  4 Na 3.59
Ba  0.0000  0.0000  0.5000 (multiplicity 4)  4 Na 3.85, 2 K 4.05
Na  0.2309  0.2500  0.1250 (multiplicity 8)  2 K 3.59, 2 Ba 3.85

Summary:
Energy above the lowest structure with this stoichiometry ... 101 meV per atom
Energy relative to the elements ... 145.0 meV per atom



Here are the calculated calculated density numbers, same order: 12.94; 6.25; 5.54; 12.55; 13.98; 11.80; 11.07; 1.78 (g cm⁻³).
Here are the calculated D(E_F) numbers, same order: 1.53; 11.31; 5.38; 12.01; 2.39; 7.55; 3.69; 11.25 (states/eV/cell).